A relaxed structure of LiAlFeAs2. Source: Alexandria via LeMat-Bulk, functional PBE.

The space group is P4/mmm (No. 123) and the conventional cell measures 4.421, 4.421 and 4.117 Å, with angles of 90.00, 90.00 and 90.00 degrees. Symmetry generates all atoms from Li at (0.000, 0.000, 0.000), Al at (0.500, 0.500, 0.500), Fe at (0.000, 0.000, 0.500) and As at (0.000, 0.500, 0.000).

The calculation puts the calculated formation energy at 17.90 kcal/mol of atoms. The calculation puts the volume at 16.1 A^3/atom.